No. 1
A relaxed Rb2PuFeO4 crystal, computed with PBE+U.

Properties
The size of the total moment is 8.000 μB/f.u. The space group is P2/m. The density of states at the Fermi level comes out at 4.69 states/eV/cell. The calculation puts the total DFT energy (no corrections) at -57.093 eV/f.u.

Cell: 5.8708 3.4737 6.8047 Å, 90.00 107.80 90.00°
Last column: nearest neighbours and their distance in Å.
Atoms (fractional coordinates):
Rb  0.0000  0.0000  0.0000  6 O 2.81-2.93
Rb  0.5000  0.5000  0.0000  6 O 2.88-2.98
Pu  0.0000  0.5000  0.5000  6 O 2.21-2.28
Fe  0.5000  0.0000  0.5000  6 O 2.27-2.37
O  0.2145  0.0000  0.6831  2 Pu 2.28, 1 Fe 2.37
O  0.2727  0.5000  0.3360  1 Pu 2.21, 2 Fe 2.27
O  0.7273  0.5000  0.6640  1 Pu 2.21, 2 Fe 2.27
O  0.7855  0.0000  0.3169  2 Pu 2.28, 1 Fe 2.37


No. 2
A relaxed Rb3PuFe2O9 crystal, computed with PBE+U.

Properties
The size of the total moment is 12.274 μB/f.u. The space group is P-3m1. The density of states at the Fermi level comes out at 7.92 states/eV/cell. The calculation puts the total DFT energy (no corrections) at -96.770 eV/f.u.

Cell: 5.8388 5.8388 7.1963 Å, 90.00 90.00 120.00°
Last column: nearest neighbours and their distance in Å.
Atoms (fractional coordinates):
Rb  0.0000  0.0000  0.0000  12 O 2.92-2.94
Rb  0.3333  0.6667  0.6709  12 O 2.91-2.95
Rb  0.6667  0.3333  0.3291  12 O 2.91-2.95
Pu  0.0000  0.0000  0.5000  6 O 2.02
Fe  0.3333  0.6667  0.1556  6 O 2.02-2.16
Fe  0.6667  0.3333  0.8444  6 O 2.02-2.16
O  0.0000  0.5000  0.0000  2 Fe 2.02
O  0.1630  0.3261  0.3376  1 Pu 2.02, 1 Fe 2.16
O  0.1630  0.8370  0.3376  1 Pu 2.02, 1 Fe 2.16
O  0.3261  0.1630  0.6624  1 Pu 2.02, 1 Fe 2.16
O  0.5000  0.0000  0.0000  2 Fe 2.02
O  0.5000  0.5000  0.0000  2 Fe 2.02
O  0.6739  0.8370  0.3376  1 Pu 2.02, 1 Fe 2.16
O  0.8370  0.1630  0.6624  1 Pu 2.02, 1 Fe 2.16
O  0.8370  0.6739  0.6624  1 Pu 2.02, 1 Fe 2.16


No. 3
A relaxed RbPu2FeO8 crystal, computed with PBE+U.

Properties
The size of the total moment is 9.000 μB/f.u. The space group is C2/m. The density of states at the Fermi level comes out at 7.95 states/eV/cell. The calculation puts the total DFT energy (no corrections) at -99.530 eV/f.u.

Cell: 5.0213 5.0213 7.3152 Å, 91.77 91.77 84.90°
Last column: nearest neighbours and their distance in Å.
Atoms (fractional coordinates):
Rb  0.0000  0.0000  0.0000  6 O 2.61-2.66
Pu  0.4851  0.4851  0.7263  4 O 1.91-2.01
Pu  0.5149  0.5149  0.2737  4 O 1.91-2.01
Fe  0.0000  0.0000  0.5000  4 O 1.99
O  0.2044  0.7879  0.3075  1 Fe 1.99, 1 Pu 2.00
O  0.2121  0.7956  0.6925  1 Fe 1.99, 1 Pu 2.00
O  0.3084  0.3084  0.5101  1 Pu 2.01
O  0.3485  0.3485  0.0672  1 Pu 1.91
O  0.6515  0.6515  0.9328  1 Pu 1.91
O  0.6916  0.6916  0.4899  1 Pu 2.01
O  0.7879  0.2044  0.3075  1 Fe 1.99, 1 Pu 2.00
O  0.7956  0.2121  0.6925  1 Fe 1.99, 1 Pu 2.00


No. 4
A relaxed RbPuFe2O8 crystal, computed with PBE+U.

Properties
The size of the total moment is 9.000 μB/f.u. The space group is P-3m1. The density of states at the Fermi level comes out at 5.05 states/eV/cell. The calculation puts the total DFT energy (no corrections) at -83.578 eV/f.u.

Cell: 5.8553 5.8553 7.9566 Å, 90.00 90.00 120.00°
Last column: nearest neighbours and their distance in Å.
Atoms (fractional coordinates):
Rb  0.0000  0.0000  0.0000  12 O 3.22-3.42
Pu  0.0000  0.0000  0.5000  6 O 2.01
Fe  0.3333  0.6667  0.2768  4 O 1.67-1.86
Fe  0.6667  0.3333  0.7232  4 O 1.67-1.86
O  0.1596  0.3192  0.3502  1 Fe 1.86, 1 Pu 2.01
O  0.1596  0.8404  0.3502  1 Fe 1.86, 1 Pu 2.01
O  0.3192  0.1596  0.6498  1 Fe 1.86, 1 Pu 2.01
O  0.3333  0.6667  0.0667  1 Fe 1.67
O  0.6667  0.3333  0.9333  1 Fe 1.67
O  0.6808  0.8404  0.3502  1 Fe 1.86, 1 Pu 2.01
O  0.8404  0.1596  0.6498  1 Fe 1.86, 1 Pu 2.01
O  0.8404  0.6808  0.6498  1 Fe 1.86, 1 Pu 2.01


No. 5
A relaxed PuFeRhO6 crystal, computed with PBE+U.

Properties
The size of the total moment is 0.999 μB/f.u. The space group is P-31c. The density of states at the Fermi level comes out at 7.68 states/eV/cell. The calculation puts the total DFT energy (no corrections) at -70.359 eV/f.u.

Cell: 5.1387 5.1387 8.8085 Å, 90.00 90.00 120.00°
Last column: nearest neighbours and their distance in Å.
Atoms (fractional coordinates):
Pu  0.3333  0.6667  0.2500  6 O 2.08
Pu  0.6667  0.3333  0.7500  6 O 2.08
Fe  0.3333  0.6667  0.7500  6 O 1.97
Fe  0.6667  0.3333  0.2500  6 O 1.97
Rh  0.0000  0.0000  0.0000  6 O 2.06
Rh  0.0000  0.0000  0.5000  6 O 2.06
O  0.0168  0.3443  0.6269  1 Fe 1.97, 1 Rh 2.06, 1 Pu 2.08
O  0.0168  0.6725  0.8731  1 Fe 1.97, 1 Rh 2.06, 1 Pu 2.08
O  0.3275  0.3443  0.8731  1 Fe 1.97, 1 Rh 2.06, 1 Pu 2.08
O  0.3275  0.9832  0.6269  1 Fe 1.97, 1 Rh 2.06, 1 Pu 2.08
O  0.3443  0.0168  0.1269  1 Fe 1.97, 1 Rh 2.06, 1 Pu 2.08
O  0.3443  0.3275  0.3731  1 Fe 1.97, 1 Rh 2.06, 1 Pu 2.08
O  0.6557  0.6725  0.6269  1 Fe 1.97, 1 Rh 2.06, 1 Pu 2.08
O  0.6557  0.9832  0.8731  1 Fe 1.97, 1 Rh 2.06, 1 Pu 2.08
O  0.6725  0.0168  0.3731  1 Fe 1.97, 1 Rh 2.06, 1 Pu 2.08
O  0.6725  0.6557  0.1269  1 Fe 1.97, 1 Rh 2.06, 1 Pu 2.08
O  0.9832  0.3275  0.1269  1 Fe 1.97, 1 Rh 2.06, 1 Pu 2.08
O  0.9832  0.6557  0.3731  1 Fe 1.97, 1 Rh 2.06, 1 Pu 2.08


No. 6
A relaxed PuFeRuO6 crystal, computed with PBE+U.

Properties
The size of the total moment is 2.316 μB/f.u. The space group is P-31c. The density of states at the Fermi level comes out at 13.07 states/eV/cell. The calculation puts the total DFT energy (no corrections) at -72.250 eV/f.u.

Cell: 5.1005 5.1005 8.9652 Å, 90.00 90.00 120.00°
Last column: nearest neighbours and their distance in Å.
Atoms (fractional coordinates):
Pu  0.3333  0.6667  0.2500  6 O 2.08
Pu  0.6667  0.3333  0.7500  6 O 2.08
Fe  0.3333  0.6667  0.7500  6 O 2.01
Fe  0.6667  0.3333  0.2500  6 O 2.01
Ru  0.0000  0.0000  0.0000  6 O 2.01
Ru  0.0000  0.0000  0.5000  6 O 2.01
O  0.0114  0.3317  0.6258  1 Ru 2.01, 1 Fe 2.01, 1 Pu 2.08
O  0.0114  0.6797  0.8742  1 Ru 2.01, 1 Fe 2.01, 1 Pu 2.08
O  0.3203  0.3317  0.8742  1 Ru 2.01, 1 Fe 2.01, 1 Pu 2.08
O  0.3203  0.9886  0.6258  1 Ru 2.01, 1 Fe 2.01, 1 Pu 2.08
O  0.3317  0.0114  0.1258  1 Ru 2.01, 1 Fe 2.01, 1 Pu 2.08
O  0.3317  0.3203  0.3742  1 Ru 2.01, 1 Fe 2.01, 1 Pu 2.08
O  0.6683  0.6797  0.6258  1 Ru 2.01, 1 Fe 2.01, 1 Pu 2.08
O  0.6683  0.9886  0.8742  1 Ru 2.01, 1 Fe 2.01, 1 Pu 2.08
O  0.6797  0.0114  0.3742  1 Ru 2.01, 1 Fe 2.01, 1 Pu 2.08
O  0.6797  0.6683  0.1258  1 Ru 2.01, 1 Fe 2.01, 1 Pu 2.08
O  0.9886  0.3203  0.1258  1 Ru 2.01, 1 Fe 2.01, 1 Pu 2.08
O  0.9886  0.6683  0.3742  1 Ru 2.01, 1 Fe 2.01, 1 Pu 2.08


Repeat the sixth record exactly.
A relaxed PuFeRuO6 crystal, computed with PBE+U.

Properties
The size of the total moment is 2.316 μB/f.u. The space group is P-31c. The density of states at the Fermi level comes out at 13.07 states/eV/cell. The calculation puts the total DFT energy (no corrections) at -72.250 eV/f.u.

Cell: 5.1005 5.1005 8.9652 Å, 90.00 90.00 120.00°
Last column: nearest neighbours and their distance in Å.
Atoms (fractional coordinates):
Pu  0.3333  0.6667  0.2500  6 O 2.08
Pu  0.6667  0.3333  0.7500  6 O 2.08
Fe  0.3333  0.6667  0.7500  6 O 2.01
Fe  0.6667  0.3333  0.2500  6 O 2.01
Ru  0.0000  0.0000  0.0000  6 O 2.01
Ru  0.0000  0.0000  0.5000  6 O 2.01
O  0.0114  0.3317  0.6258  1 Ru 2.01, 1 Fe 2.01, 1 Pu 2.08
O  0.0114  0.6797  0.8742  1 Ru 2.01, 1 Fe 2.01, 1 Pu 2.08
O  0.3203  0.3317  0.8742  1 Ru 2.01, 1 Fe 2.01, 1 Pu 2.08
O  0.3203  0.9886  0.6258  1 Ru 2.01, 1 Fe 2.01, 1 Pu 2.08
O  0.3317  0.0114  0.1258  1 Ru 2.01, 1 Fe 2.01, 1 Pu 2.08
O  0.3317  0.3203  0.3742  1 Ru 2.01, 1 Fe 2.01, 1 Pu 2.08
O  0.6683  0.6797  0.6258  1 Ru 2.01, 1 Fe 2.01, 1 Pu 2.08
O  0.6683  0.9886  0.8742  1 Ru 2.01, 1 Fe 2.01, 1 Pu 2.08
O  0.6797  0.0114  0.3742  1 Ru 2.01, 1 Fe 2.01, 1 Pu 2.08
O  0.6797  0.6683  0.1258  1 Ru 2.01, 1 Fe 2.01, 1 Pu 2.08
O  0.9886  0.3203  0.1258  1 Ru 2.01, 1 Fe 2.01, 1 Pu 2.08
O  0.9886  0.6683  0.3742  1 Ru 2.01, 1 Fe 2.01, 1 Pu 2.08


Q: Which value of total DFT energy (no corrections) does entry 2 give?
A: -96.770 eV/f.u.